Record 1
# PBE BeOs2Au, optimized geometry
data_BeOs2Au
_chemical_formula_sum 'Be2 Os4 Au2'
_cell_length_a 8.761
_cell_length_b 2.802
_cell_length_c 4.757
_cell_angle_alpha 90.00
_cell_angle_beta 98.49
_cell_angle_gamma 90.00
_space_group_name_H-M_alt 'C 1 m 1'
_space_group_IT_number 8
_space_group_name_Hall 'C -2y'
loop_
_atom_site_label
_atom_site_type_symbol
_atom_site_fract_x
_atom_site_fract_y
_atom_site_fract_z
Be1 Be 0.000 0.000 0.000
Os1 Os 0.243 0.500 0.255
Os2 Os 0.487 0.000 0.430
Au1 Au 0.240 0.000 0.763
# Energy of formation from the pure elements ... 0.3605 eV per atom

Record 2
# PBE BeOsAu3, optimized geometry
data_BeOsAu3
_chemical_formula_sum 'Be1 Os1 Au3'
_cell_length_a 5.047
_cell_length_b 5.047
_cell_length_c 5.047
_cell_angle_alpha 90.00
_cell_angle_beta 90.00
_cell_angle_gamma 90.00
_space_group_name_H-M_alt 'P m -3 m'
_space_group_IT_number 221
_space_group_name_Hall '-P 4 2 3'
loop_
_atom_site_label
_atom_site_type_symbol
_atom_site_fract_x
_atom_site_fract_y
_atom_site_fract_z
Be1 Be 0.000 0.000 0.000
Os1 Os 0.500 0.500 0.500
Au1 Au 0.000 0.500 0.500
# Polymorph energy (0 for the lowest one) ... 825 meV/atom
# Energy of formation from the pure elements ... 1.6692 eV per atom

Record 3
# PBE Be2OsAu, optimized geometry
data_Be2OsAu
_chemical_formula_sum 'Be2 Os1 Au1'
_cell_length_a 2.910
_cell_length_b 2.910
_cell_length_c 5.699
_cell_angle_alpha 90.00
_cell_angle_beta 90.00
_cell_angle_gamma 90.00
_space_group_name_H-M_alt 'P 4/m m m'
_space_group_IT_number 123
_space_group_name_Hall '-P 4 2'
loop_
_atom_site_label
_atom_site_type_symbol
_atom_site_fract_x
_atom_site_fract_y
_atom_site_fract_z
Be1 Be 0.000 0.000 0.205
Os1 Os 0.500 0.500 0.000
Au1 Au 0.500 0.500 0.500
# Energy of formation from the pure elements ... -0.1618 eV per atom

Record 4
# PBE Be2OsAu, optimized geometry
data_Be2OsAu
_chemical_formula_sum 'Be4 Os2 Au2'
_cell_length_a 7.537
_cell_length_b 2.933
_cell_length_c 4.766
_cell_angle_alpha 90.00
_cell_angle_beta 105.30
_cell_angle_gamma 90.00
_space_group_name_H-M_alt 'C 1 2/m 1'
_space_group_IT_number 12
_space_group_name_Hall '-C 2y'
loop_
_atom_site_label
_atom_site_type_symbol
_atom_site_fract_x
_atom_site_fract_y
_atom_site_fract_z
Be1 Be 0.244 0.000 0.200
Os1 Os 0.000 0.500 0.000
Au1 Au 0.000 0.000 0.500
# Energy of formation from the pure elements ... 0.1216 eV per atom

Record 5
# PBE Be2OsAu, optimized geometry
data_Be2OsAu
_chemical_formula_sum 'Be4 Os2 Au2'
_cell_length_a 2.822
_cell_length_b 4.560
_cell_length_c 8.194
_cell_angle_alpha 90.00
_cell_angle_beta 90.00
_cell_angle_gamma 90.00
_space_group_name_H-M_alt 'C m m 2'
_space_group_IT_number 35
_space_group_name_Hall 'C 2 -2'
loop_
_atom_site_label
_atom_site_type_symbol
_atom_site_fract_x
_atom_site_fract_y
_atom_site_fract_z
Be1 Be 0.000 0.000 0.000
Be2 Be 0.000 0.500 0.218
Os1 Os 0.000 0.500 0.779
Au1 Au 0.000 0.000 0.460
# Energy of formation from the pure elements ... 0.3651 eV per atom

Record 6
# PBE BeOs2Au, optimized geometry
data_BeOs2Au
_chemical_formula_sum 'Be1 Os2 Au1'
_cell_length_a 2.784
_cell_length_b 3.720
_cell_length_c 5.550
_cell_angle_alpha 90.00
_cell_angle_beta 90.00
_cell_angle_gamma 90.00
_space_group_name_H-M_alt 'P m m 2'
_space_group_IT_number 25
_space_group_name_Hall 'P 2 -2'
loop_
_atom_site_label
_atom_site_type_symbol
_atom_site_fract_x
_atom_site_fract_y
_atom_site_fract_z
Be1 Be 0.000 0.000 0.000
Os1 Os 0.000 0.000 0.444
Os2 Os 0.500 0.500 0.250
Au1 Au 0.500 0.500 0.767
# Energy of formation from the pure elements ... 0.2287 eV per atom

In the order shown, the computed V values come out to 14.43 25.71 12.07 12.70 13.18 14.37 Å³/atom.
In the order shown, the computed mass density values come out to 16.87 10.20 13.94 13.25 12.76 16.94 g/cm³.